Entry 1:
Material: Cd2Bi2O
Method: DFT, PBE-GGA
State: relaxed

Structure (POSCAR):
```
Cd2Bi2O
1.0
-0.108 3.726 0.761
-0.169 -0.765 3.723
8.285 1.641 2.658
Bi O Cd
2 1 2
Direct
0.411 0.411 0.178
0.589 0.589 0.822
0.000 0.000 0.000
0.750 0.250 0.500
0.250 0.750 0.500
```

The symmetry is No. 139. Its distance to the lowest polymorph of the same formula is 398 meV per atom.

=====

Entry 2:
Material: Er6P5
Method: DFT, PBE-GGA
State: relaxed

Structure (POSCAR):
```
Er6P5
1.0
-1.676 -5.915 -2.982
2.151 0.032 -6.477
4.079 -2.334 4.939
Er P
6 5
Direct
0.745 0.745 0.000
0.255 0.255 0.000
0.748 0.084 0.660
0.252 0.576 0.660
0.252 0.916 0.340
0.748 0.424 0.340
0.500 0.500 0.000
0.000 0.667 0.333
0.000 0.333 0.667
0.500 0.834 0.667
0.500 0.166 0.333
```

The symmetry is No. 12. The formation energy is -1.467 eV/atom.

=====

Entry 3:
Material: Nd6CdI8
Method: DFT, PBE-GGA
State: relaxed

Structure (POSCAR):
```
Nd6CdI8
1.0
-2.559 6.927 2.071
-4.326 0.769 6.286
7.342 4.202 9.219
Nd Cd I
6 1 8
Direct
0.948 0.630 0.155
0.733 0.052 0.845
0.370 0.733 0.845
0.630 0.267 0.155
0.267 0.948 0.155
0.052 0.370 0.845
0.000 0.000 0.000
0.770 0.447 0.675
0.892 0.230 0.325
0.553 0.892 0.325
0.333 0.333 0.000
0.667 0.667 0.000
0.447 0.108 0.675
0.108 0.770 0.675
0.230 0.553 0.325
```

The symmetry is No. 148.

=====

Entry 4:
Material: Ho3ErSe4
Method: DFT, PBE-GGA
State: relaxed

Structure (POSCAR):
```
Ho3ErSe4
1.0
-5.030 0.871 2.601
-2.634 -0.016 -5.088
-0.766 -5.663 0.415
Ho Er Se
3 1 4
Direct
0.000 0.500 0.500
0.500 0.000 0.500
0.500 0.500 0.000
0.000 0.000 0.000
0.500 0.000 0.000
0.000 0.500 0.000
0.000 0.000 0.500
0.500 0.500 0.500
```

The symmetry is No. 221. Its distance to the lowest polymorph of the same formula is 13 meV per atom.

=====

These records have total energy values of -2.645; -6.415; -3.833; -5.732 eV/atom, in the order they appear.